Tl2NiAg2F6 | PBE+U | relaxed

Geometry as POSCAR:
```
Tl2NiAg2F6
1.0
5.432 -3.020 0.000
5.432 3.020 0.000
-3.550 0.000 5.879
Tl Ni Ag F
2 1 2 6
Cartesian
1.507 0.000 1.964
5.807 0.000 3.915
-1.775 0.000 2.940
3.988 0.000 0.381
3.326 0.000 5.498
2.626 1.602 3.981
-0.115 0.000 4.125
4.688 1.602 1.898
2.626 -1.602 3.981
7.429 0.000 1.754
4.688 -1.602 1.898
```

DOS(E_F)	0.00	states/eV/atom
space-group type	C2/m, No. 12
VASP energy	-3.789	eV per atom